CsScW | PBE | relaxed

Summary:
SG	F-43m
total energy	-4.63	eV per atom
excess energy over the best structure of this formula in the dataset	0	meV/atom
size of the total moment	2.00	μB/f.u.

Lattice parameters (Å, degrees): 5.007 5.007 5.007 60.00 60.00 60.00
Atoms (fractional coordinates):
Sc 0.750 0.750 0.750
Cs 0.250 0.250 0.250
W 0.000 0.000 0.000